# 1
{
  "formula": "MgZr3Al",
  "functional": "PBE",
  "state": "optimized geometry",
  "cell": [[-4.0396, 2.0843, -1.8900], [1.0851, -2.6568, -5.2492], [-1.9406, -6.8108, 3.0462]],
  "species": ["Mg", "Mg", "Zr", "Zr", "Zr", "Zr", "Zr", "Zr", "Al", "Al"],
  "fractional_positions": [[0.9992, 0.7500, 0.9987], [0.0008, 0.2500, 0.0013], [0.2078, 0.7500, 0.4145], [0.3873, 0.0047, 0.7747], [0.3873, 0.4953, 0.7747], [0.6127, 0.9953, 0.2253], [0.7922, 0.2500, 0.5855], [0.6127, 0.5047, 0.2253], [0.8054, 0.7500, 0.6104], [0.1946, 0.2500, 0.3896]],
  "formation_energy_ev_per_atom": -0.15,
  "polymorph_energy_ev_per_fu": 0.00,
  "spacegroup": "Cmcm"
}

---

# 2
{
  "formula": "NaLu2N",
  "functional": "PBE",
  "state": "optimized geometry",
  "cell": [[-0.9155, -0.3770, 3.2214], [-0.4475, -3.0876, 1.2743], [8.5945, -1.4177, 4.0394]],
  "species": ["N", "Lu", "Lu", "Na"],
  "fractional_positions": [[0.5000, 0.5000, 0.5000], [0.1203, 0.1203, 0.6391], [0.8797, 0.8797, 0.3609], [0.0000, 0.0000, 0.0000]],
  "formation_energy_uncorrected_ev_per_atom": -0.69,
  "spacegroup": "R-3m"
}

---

no.,electronic total energy (eV per atom),DOS at the Fermi energy (states/eV/f.u.)
1,-6.35,4.78
2,-5.36,3.47